Material: TiMnH12O6F6
Method: DFT, PBEsol
State: optimized geometry

Unit cell a=6.516 b=6.516 c=6.516 alpha=97.43 beta=97.43 gamma=97.43
Last column: magnetic moment on the atom in μB.
Atoms (fractional coordinates):
H 0.789 0.286 0.220  0.00
H 0.965 0.630 0.732  0.00
H 0.630 0.732 0.965  0.00
H 0.268 0.035 0.370  0.00
H 0.780 0.211 0.714  0.00
H 0.286 0.220 0.789  0.00
H 0.732 0.965 0.630  0.00
H 0.035 0.370 0.268  0.00
H 0.220 0.789 0.286  0.00
H 0.370 0.268 0.035  0.00
H 0.714 0.780 0.211  0.00
H 0.211 0.714 0.780  0.00
Mn 0.000 0.000 0.000  4.43
F 0.444 0.637 0.756  0.00
F 0.556 0.363 0.244  0.00
F 0.637 0.756 0.444  0.00
F 0.363 0.244 0.556  0.00
F 0.244 0.556 0.363  0.00
F 0.756 0.444 0.637  0.00
O 0.756 0.782 0.071  0.02
O 0.244 0.218 0.929  0.02
O 0.218 0.929 0.244  0.02
O 0.071 0.756 0.782  0.02
O 0.929 0.244 0.218  0.02
O 0.782 0.071 0.756  0.02
Ti 0.500 0.500 0.500  0.20

Summary:
For the size of the total moment, the calculation gives 5.08 Bohr magnetons per cell. The space-group type is R-3, No. 148. The total energy comes out at -143.93 eV per cell. Its crystal system is trigonal. For the density of states at the Fermi level, the calculation gives 6.10 states/eV/f.u.



Material: MnVH4O2F5
Method: DFT, PBEsol
State: optimized geometry

Unit cell a=6.416 b=7.377 c=7.377 alpha=61.52 beta=64.23 gamma=64.23
Last column: magnetic moment on the atom in μB.
Atoms (fractional coordinates):
H 0.202 0.018 0.806  0.00
H 0.474 0.518 0.306  0.00
H 0.798 0.194 0.982  0.00
H 0.526 0.482 0.694  0.00
H 0.474 0.306 0.518  0.00
H 0.202 0.806 0.018  0.00
H 0.526 0.694 0.482  0.00
H 0.798 0.982 0.194  0.00
Mn 0.500 0.000 0.000  4.51
Mn 0.000 0.500 0.500  4.51
O 0.632 0.566 0.566  0.02
O 0.368 0.434 0.434  0.02
O 0.263 0.934 0.934  0.02
O 0.737 0.066 0.066  0.02
F 0.945 0.250 0.250  -0.01
F 0.665 0.659 0.095  0.03
F 0.918 0.405 0.841  0.03
F 0.335 0.905 0.341  0.03
F 0.082 0.159 0.595  0.03
F 0.055 0.750 0.750  -0.01
F 0.335 0.341 0.905  0.03
F 0.918 0.841 0.405  0.03
F 0.082 0.595 0.159  0.03
F 0.665 0.095 0.659  0.03
V 0.000 0.500 0.000  1.93
V 0.000 0.000 0.500  1.93

Summary:
For the size of the total moment, the calculation gives 14.00 Bohr magnetons per cell. The space-group type is Imma, No. 74. The total energy comes out at -154.54 eV per cell. Its crystal system is orthorhombic. For the density of states at the Fermi level, the calculation gives 6.25 states/eV/f.u.



Material: MoH6NO3F2
Method: DFT, PBEsol
State: optimized geometry

Unit cell a=7.834 b=8.421 c=8.421 alpha=113.56 beta=102.36 gamma=102.36
Atoms (fractional coordinates):
H 0.322 0.242 0.659
H 0.822 0.659 0.242
H 0.378 0.917 0.806
H 0.344 0.292 0.881
H 0.622 0.083 0.194
H 0.761 0.402 0.419
H 0.739 0.581 0.598
H 0.178 0.341 0.758
H 0.678 0.758 0.341
H 0.369 0.640 0.456
H 0.878 0.806 0.917
H 0.122 0.194 0.083
H 0.131 0.544 0.360
H 0.239 0.598 0.581
H 0.151 0.868 0.762
H 0.844 0.881 0.292
H 0.656 0.708 0.119
H 0.849 0.132 0.238
H 0.631 0.360 0.544
H 0.349 0.238 0.132
H 0.869 0.456 0.640
H 0.261 0.419 0.402
H 0.156 0.119 0.708
H 0.651 0.762 0.868
F 0.097 0.510 0.762
F 0.903 0.490 0.238
F 0.597 0.762 0.510
F 0.515 0.317 0.078
F 0.485 0.683 0.922
F 0.015 0.078 0.317
F 0.985 0.922 0.683
F 0.403 0.238 0.490
N 0.250 0.248 0.752
N 0.750 0.450 0.550
N 0.250 0.550 0.450
N 0.750 0.752 0.248
O 0.261 0.833 0.804
O 0.239 0.196 0.167
O 0.945 0.194 0.966
O 0.776 0.105 0.587
O 0.555 0.034 0.806
O 0.739 0.167 0.196
O 0.055 0.806 0.034
O 0.445 0.966 0.194
O 0.276 0.587 0.105
O 0.761 0.804 0.833
O 0.224 0.895 0.413
O 0.724 0.413 0.895
Mo 0.267 0.727 0.010
Mo 0.767 0.010 0.727
Mo 0.733 0.273 0.990
Mo 0.233 0.990 0.273

Summary:
For the size of the total moment, the calculation gives 0.00 Bohr magnetons per cell. The space-group type is C2/c, No. 15. The total energy comes out at -311.03 eV per cell. Its crystal system is monoclinic. For the density of states at the Fermi level, the calculation gives 0.00 states/eV/f.u.



Material: MoHO2F
Method: DFT, PBEsol
State: optimized geometry

Unit cell a=2.594 b=3.709 c=3.709 alpha=90.00 beta=90.00 gamma=90.00
Last column: magnetic moment on the atom in μB.
Atoms (fractional coordinates):
F 0.500 0.000 0.000  0.01
H 0.000 0.000 0.000  0.00
O 0.000 0.500 0.000  0.00
O 0.000 0.000 0.500  0.00
Mo 0.500 0.500 0.500  0.12

Summary:
For the size of the total moment, the calculation gives 0.13 Bohr magnetons per cell. The space-group type is P4/mmm, No. 123. The total energy comes out at -30.37 eV per cell. Its crystal system is tetragonal. For the density of states at the Fermi level, the calculation gives 1.74 states/eV/f.u.



Material: ScMo2HF
Method: DFT, PBEsol
State: optimized geometry

Unit cell a=3.562 b=3.562 c=5.469 alpha=90.00 beta=90.00 gamma=90.00
Atoms (fractional coordinates):
Mo 0.500 0.000 0.000
Mo 0.000 0.500 0.000
H 0.000 0.000 0.000
F 0.500 0.500 0.500
Sc 0.000 0.000 0.500

Summary:
For the size of the total moment, the calculation gives 0.00 Bohr magnetons per cell. The space-group type is P4/mmm, No. 123. The total energy comes out at -36.27 eV per cell. Its crystal system is tetragonal. For the density of states at the Fermi level, the calculation gives 3.97 states/eV/f.u.



Material: NaVH8N2F6
Method: DFT, PBEsol
State: optimized geometry

Unit cell a=5.896 b=5.896 c=5.896 alpha=60.00 beta=60.00 gamma=60.00
Last column: magnetic moment on the atom in μB.
Atoms (fractional coordinates):
H 0.964 0.679 0.679  0.00
H 0.321 0.321 0.321  0.00
H 0.679 0.679 0.964  0.00
H 0.679 0.679 0.679  0.00
H 0.321 0.036 0.321  0.00
H 0.036 0.321 0.321  0.00
H 0.679 0.964 0.679  0.00
H 0.321 0.321 0.036  0.00
F 0.766 0.234 0.766  0.00
F 0.234 0.234 0.766  0.00
F 0.234 0.766 0.234  0.00
F 0.766 0.766 0.234  0.00
F 0.234 0.766 0.766  0.00
F 0.766 0.234 0.234  0.00
V 0.000 0.000 0.000  1.85
N 0.250 0.250 0.250  0.00
N 0.750 0.750 0.750  0.00
Na 0.500 0.500 0.500  0.00

Summary:
For the size of the total moment, the calculation gives 2.00 Bohr magnetons per cell. The space-group type is Fm-3m, No. 225. The total energy comes out at -94.49 eV per cell. Its crystal system is cubic. For the density of states at the Fermi level, the calculation gives 10.80 states/eV/f.u.



Material: NbHN2F
Method: DFT, PBEsol
State: optimized geometry

Unit cell a=4.004 b=4.004 c=4.110 alpha=90.00 beta=90.00 gamma=90.00
Last column: magnetic moment on the atom in μB.
Atoms (fractional coordinates):
N 0.500 0.000 0.000  -0.32
N 0.000 0.500 0.000  -0.32
F 0.000 0.000 0.500  0.01
H 0.500 0.500 0.500  0.30
Nb 0.000 0.000 0.000  0.10

Summary:
For the size of the total moment, the calculation gives 0.08 Bohr magnetons per cell. The space-group type is P4/mmm, No. 123. The total energy comes out at -32.35 eV per cell. Its crystal system is tetragonal. For the density of states at the Fermi level, the calculation gives 2.74 states/eV/f.u.



Material: NbH8N2O2F5
Method: DFT, PBEsol
State: optimized geometry

Unit cell a=7.615 b=8.681 c=9.286 alpha=90.00 beta=90.00 gamma=90.00
Atoms (fractional coordinates):
F 0.147 0.092 0.760
F 0.853 0.592 0.240
F 0.144 0.904 0.069
F 0.856 0.096 0.931
F 0.147 0.408 0.760
F 0.353 0.092 0.260
F 0.644 0.096 0.431
F 0.647 0.250 0.174
F 0.644 0.404 0.431
F 0.853 0.250 0.674
F 0.353 0.750 0.826
F 0.144 0.596 0.069
F 0.647 0.908 0.740
F 0.647 0.592 0.740
F 0.356 0.904 0.569
F 0.147 0.750 0.326
F 0.853 0.908 0.240
F 0.353 0.408 0.260
F 0.356 0.596 0.569
F 0.856 0.404 0.931
H 0.881 0.422 0.598
H 0.619 0.078 0.098
H 0.977 0.897 0.627
H 0.023 0.103 0.373
H 0.830 0.926 0.487
H 0.119 0.922 0.402
H 0.670 0.926 0.987
H 0.523 0.897 0.127
H 0.523 0.603 0.127
H 0.441 0.250 0.683
H 0.144 0.750 0.767
H 0.330 0.426 0.013
H 0.119 0.578 0.402
H 0.059 0.250 0.183
H 0.977 0.603 0.627
H 0.670 0.574 0.987
H 0.170 0.426 0.513
H 0.356 0.750 0.267
H 0.881 0.078 0.598
H 0.941 0.750 0.817
H 0.023 0.397 0.373
H 0.830 0.574 0.487
H 0.330 0.074 0.013
H 0.856 0.250 0.233
H 0.381 0.922 0.902
H 0.619 0.422 0.098
H 0.477 0.103 0.873
H 0.644 0.250 0.733
H 0.381 0.578 0.902
H 0.170 0.074 0.513
H 0.559 0.750 0.317
H 0.477 0.397 0.873
O 0.480 0.750 0.230
O 0.520 0.250 0.770
O 0.980 0.250 0.270
O 0.832 0.750 0.975
O 0.332 0.250 0.525
O 0.020 0.750 0.730
O 0.668 0.750 0.475
O 0.168 0.250 0.025
N 0.570 0.522 0.047
N 0.070 0.478 0.453
N 0.570 0.978 0.047
N 0.430 0.022 0.953
N 0.070 0.022 0.453
N 0.930 0.978 0.547
N 0.930 0.522 0.547
N 0.430 0.478 0.953
Nb 0.025 0.250 0.872
Nb 0.475 0.250 0.372
Nb 0.975 0.750 0.128
Nb 0.525 0.750 0.628

Summary:
For the size of the total moment, the calculation gives 0.00 Bohr magnetons per cell. The space-group type is Pnma, No. 62. The total energy comes out at -406.39 eV per cell. Its crystal system is orthorhombic. For the density of states at the Fermi level, the calculation gives 0.00 states/eV/f.u.



no.,volume (Å³/f.u.)
1,269.1
2,132.4
3,117.2
4,35.7
5,69.4
6,144.9
7,65.9
8,153.5